Record 1
18
Lattice="1.699 7.704 4.672 -7.221 -5.201 2.206 3.726 -3.382 4.222" Properties=species:S:1:pos:R:3 comment="Ce3SnHg5 GGA-PBE optimized geometry" sg="P6_3/mcm, No. 193" total_energy_ev_per_atom=-2.9692 delta_e_f_kj_per_mol_atoms=-36.6 pbc="T T T"
Sn 0.000 0.000 0.000
Sn 1.863 -1.691 2.111
Hg -1.274 3.402 3.850
Hg 0.852 -1.656 5.585
Hg 0.589 1.711 5.961
Hg -2.385 -2.590 5.139
Hg 1.529 1.864 2.698
Hg -2.648 0.777 5.514
Hg 3.896 2.458 6.195
Hg -1.608 -2.675 1.831
Hg -1.887 -5.908 4.597
Hg -4.247 -0.899 3.028
Ce 0.513 -4.179 3.863
Ce -4.008 -4.403 2.565
Ce 2.094 4.425 4.251
Ce 3.331 -0.103 4.642
Ce -0.983 -0.824 7.871
Ce -0.813 -0.055 3.228


Record 2
18
Lattice="6.564 0.000 0.000 0.000 8.268 -4.774 0.000 0.000 9.547" Properties=species:S:1:pos:R:3 comment="Ce5Sn3Hg GGA-PBE optimized geometry" sg="P6_3/mcm, No. 193" total_energy_ev_per_atom=-5.2187 delta_e_f_kj_per_mol_atoms=-53.5 pbc="T T T"
Sn 4.923 3.030 1.750
Sn 1.641 3.031 -1.750
Sn 4.923 8.268 1.274
Sn 1.641 0.000 3.499
Sn 1.641 5.238 3.024
Sn 4.923 5.238 -3.024
Ce 1.641 5.835 -3.369
Ce 3.282 5.512 0.000
Ce 0.000 5.512 0.000
Ce 4.923 2.433 -1.405
Ce 0.000 2.756 4.774
Ce 4.923 5.835 3.369
Ce 1.641 0.000 6.738
Ce 1.641 2.433 1.405
Ce 4.923 8.268 -1.964
Ce 3.282 2.756 4.774
Hg 0.000 0.000 0.000
Hg 3.282 0.000 0.000


Record 3
12
Lattice="6.041 1.254 0.000 0.880 6.107 0.000 -3.460 -3.680 8.759" Properties=species:S:1:pos:R:3 comment="Ce2SnHg3 GGA-PBE optimized geometry" sg="Fmmm, No. 69" relative_energy_mev_per_atom=0.0 total_energy_ev_per_atom=-3.1827 delta_e_f_kj_per_mol_atoms=-37.3 pbc="T T T"
Ce 3.020 0.627 4.379
Ce 0.440 3.053 4.379
Ce 2.131 4.930 0.000
Ce 4.790 2.430 0.000
Hg -1.731 -1.841 7.310
Hg 1.731 1.841 7.310
Hg 0.000 0.000 2.908
Hg 3.460 3.680 5.850
Hg 5.191 5.522 1.449
Hg 1.729 1.839 1.449
Sn 0.000 0.000 5.857
Sn 3.460 3.680 2.902


Record 4
4
Lattice="4.928 0.000 0.000 0.000 4.592 0.000 0.000 0.000 4.592" Properties=species:S:1:pos:R:3 comment="CeSnHg2 GGA-PBE optimized geometry" sg="P4/mmm, No. 123" total_energy_ev_per_atom=-3.0237 delta_e_f_kj_per_mol_atoms=-37.5 pbc="T T T"
Ce 2.464 2.296 2.296
Hg 0.000 0.000 2.296
Hg 0.000 2.296 0.000
Sn 2.464 0.000 0.000


Record 5
6
Lattice="4.522 0.000 0.000 0.000 4.522 0.000 0.000 0.000 8.254" Properties=species:S:1:pos:R:3 comment="Ce2Sn3Hg GGA-PBE optimized geometry" sg="P-4m2, No. 115" total_energy_ev_per_atom=-4.3847 delta_e_f_kj_per_mol_atoms=-34.3 pbc="T T T"
Sn 0.000 0.000 0.000
Sn 0.000 2.261 5.707
Sn 2.261 0.000 2.547
Ce 2.261 0.000 5.711
Ce 0.000 2.261 2.543
Hg 2.261 2.261 0.000


Record 6
7
Lattice="5.958 0.000 0.000 0.000 5.958 0.000 -2.979 -2.979 6.174" Properties=species:S:1:pos:R:3 comment="Ce4Sn2Hg GGA-PBE optimized geometry" sg="I4/mmm, No. 139" total_energy_ev_per_atom=-4.7087 delta_e_f_kj_per_mol_atoms=-12.7 pbc="T T T"
Ce 2.979 0.000 3.087
Ce 0.000 2.979 0.000
Ce 0.000 2.979 3.087
Ce 2.979 0.000 0.000
Sn 2.979 2.979 1.575
Sn 0.000 0.000 4.598
Hg 0.000 0.000 0.000


Record 7
16
Lattice="-5.003 1.303 -6.669 6.067 -2.874 -5.113 -2.817 -5.056 6.463" Properties=species:S:1:pos:R:3 comment="Ce5SnHg2 GGA-PBE optimized geometry" sg="I4/mcm, No. 140" total_energy_ev_per_atom=-4.5869 delta_e_f_kj_per_mol_atoms=-29.2 pbc="T T T"
Hg 3.429 -2.020 -6.929
Hg 1.607 -0.899 -2.757
Hg -2.364 0.449 -4.853
Hg -0.543 -0.672 -9.025
Ce 0.000 0.000 0.000
Ce 3.402 -5.994 -1.916
Ce 2.435 -3.694 -4.356
Ce -0.346 -4.580 -2.443
Ce -3.827 -3.465 -4.952
Ce -1.406 -2.047 -2.876
Ce -5.155 -0.633 -3.403
Ce 0.532 -0.785 -5.891
Ce 2.075 -3.162 -0.366
Ce -4.187 -2.933 -0.963
Sn -1.142 -2.921 0.286
Sn -0.610 -3.706 -5.605


Record 8
4
Lattice="3.934 0.000 0.000 0.000 3.934 0.000 0.000 0.000 6.955" Properties=species:S:1:pos:R:3 comment="CeSn2Hg GGA-PBE optimized geometry" sg="P4/mmm, No. 123" total_energy_ev_per_atom=-3.7928 delta_e_f_kj_per_mol_atoms=-22.4 pbc="T T T"
Sn 0.000 0.000 5.410
Sn 0.000 0.000 1.545
Hg 1.967 1.967 0.000
Ce 1.967 1.967 3.477